Ba2Sr (GGA-PBE, relaxed); total moment = 0.00 μB per formula unit; DFT formation energy = 0.01 eV/atom
1.0
-2.223 2.223 9.256
2.223 -2.223 9.256
2.223 2.223 -9.256
Ba Sr
2 1
Cartesian
0.000 0.000 3.025 Ba
0.000 0.000 15.487 Ba
0.000 0.000 9.256 Sr